MgAsF2 | Alexandria via LeMat-Bulk | GGA-PBEsol | optimized geometry; raw total energy = -4.96 eV/atom; symmetry = No. 166; polymorph energy (0 for the lowest one) = 0.0000 eV per atom
1.0
-1.629 1.802 1.636
-2.849 0.341 -0.590
-3.525 -6.332 6.086
As Mg F
1 1 2
Cartesian
0.000 0.000 0.000 As
-4.001 -2.095 3.566 Mg
-5.277 -0.628 3.302 F
-2.726 -3.561 3.830 F